Version i
The following is a PBE calculation of a geometry-optimized Pr8CoNi2 structure, from the Alexandria database.

POSCAR file:
```
Pr8CoNi2
1.0
-1.707 2.465 2.456
3.324 -4.606 6.937
8.302 4.553 -1.861
Pr Ni Co
8 2 1
Direct
0.597 0.542 0.196 Pr
0.348 0.030 0.694 Pr
0.223 0.331 0.447 Pr
0.990 0.794 0.978 Pr
0.777 0.669 0.553 Pr
0.652 0.970 0.306 Pr
0.403 0.458 0.804 Pr
0.010 0.206 0.022 Pr
0.169 0.735 0.339 Ni
0.831 0.265 0.661 Ni
0.500 0.000 0.000 Co
```

## Properties
The calculation puts the density at 6.608 g/cm3.

=====

Version ii
The following is a PBE calculation of a geometry-optimized Pr8CoNi2 structure, from the Alexandria database.

POSCAR file:
```
Pr8CoNi2
1.0
5.189 0.000 0.000
0.000 6.692 0.052
-2.594 -2.845 8.813
Pr Co Ni
8 1 2
Direct
0.412 0.551 0.824 Pr
0.675 0.993 0.351 Pr
0.802 0.651 0.604 Pr
0.965 0.198 0.931 Pr
0.198 0.349 0.396 Pr
0.325 0.007 0.649 Pr
0.588 0.449 0.176 Pr
0.035 0.802 0.069 Pr
0.500 0.000 0.000 Co
0.825 0.257 0.650 Ni
0.175 0.743 0.350 Ni
```

## Properties
The calculation puts the density at 7.056 g/cm3.

=====

Energetically preferred structure: version i | next structure: +37 meV/atom